Entry 1:
This record from the Alexandria database describes a geometry-optimized Rb2MgTe2O6 structure. The functional is PBE-GGA.

## Properties
For the formation energy from raw total energies, the calculation gives -16.35 eV per formula unit. The value obtained for the total energy is -0.1868 Ha/atom. Its crystal system is monoclinic. For the total magnetic moment, the calculation gives 0.00 Bohr magnetons per cell.

Unit cell a=6.1768 b=5.6525 c=7.3801 alpha=106.45 beta=90.00 gamma=123.12
With the nearest neighbours (Å) after each atom.
Sites, in units of the cell vectors:
1 O 0.7293 0.4586 0.5240  1 Te 1.87
2 O 0.2707 0.5414 0.4760  1 Te 1.87
3 O 0.2637 0.0454 0.7211  1 Te 1.90
4 O 0.7363 0.9546 0.2789  1 Te 1.90
5 O 0.7817 0.0454 0.7211  1 Te 1.90
6 O 0.2183 0.9546 0.2789  1 Te 1.90
7 Te 0.9033 0.8065 0.7404  3 O 1.87-1.90
8 Te 0.0967 0.1935 0.2596  3 O 1.87-1.90
9 Mg 0.5000 0.0000 0.5000  6 O 2.12-2.24
10 Rb 0.6985 0.3970 0.1371  5 O 2.77-3.09
11 Rb 0.3015 0.6030 0.8629  5 O 2.77-3.09

Entry 2:
This record from the Alexandria database describes a geometry-optimized Er8Ag2Sn structure. The functional is PBE-GGA.

## Properties
The value obtained for the total energy is -0.1589 Ha/atom. For the formation energy from the elements, the calculation gives -0.12 eV/atom. Its crystal system is monoclinic. For the total magnetic moment, the calculation gives 0.00 Bohr magnetons per cell.

Unit cell a=5.3897 b=8.2428 c=8.2428 alpha=116.41 beta=99.78 gamma=99.78
With the nearest neighbours (Å) after each atom.
Sites, in units of the cell vectors:
1 Er 0.8977 0.9097 0.6744  2 Ag 2.97-3.13, 1 Er 3.30
2 Er 0.6961 0.3957 0.3957  2 Ag 3.17, 6 Er 3.19-3.53, 1 Sn 3.25
3 Er 0.1023 0.0903 0.3256  2 Ag 2.97-3.13, 1 Er 3.30
4 Er 0.5000 0.7694 0.2306  2 Ag 2.89, 1 Sn 3.23
5 Er 0.3039 0.6043 0.6043  2 Ag 3.17, 6 Er 3.19-3.53, 1 Sn 3.25
6 Er 0.1023 0.3256 0.0903  2 Ag 2.97-3.13, 1 Er 3.30
7 Er 0.5000 0.2306 0.7694  2 Ag 2.89, 1 Sn 3.23
8 Er 0.8977 0.6744 0.9097  2 Ag 2.97-3.13, 1 Er 3.30
9 Ag 0.0000 0.3048 0.6952  8 Er 2.89-3.17
10 Ag 0.0000 0.6952 0.3048  8 Er 2.89-3.17
11 Sn 0.5000 0.0000 0.0000  12 Er 3.23-3.62